[1]
Zr6RuO | PBE | relaxed

Cell: 5.082 5.873 5.747 Å, 81.99 89.69 66.41°
Positions (direct):
Zr (0.403, 0.740, 0.869)
Zr (0.237, 0.014, 0.331)
Zr (0.073, 0.352, 0.781)
Zr (0.597, 0.260, 0.131)
Zr (0.763, 0.986, 0.669)
Zr (0.927, 0.648, 0.219)
Ru (0.500, 0.500, 0.500)
O (0.000, 0.000, 0.000)

Calculated values
* total moment: 0.00 μB per formula unit
* formation energy from raw total energies: -0.795 eV per atom
* DOS at the Fermi energy: 0.54 states/eV per atom
* calculated total energy: -71.884 eV per cell

***

[2]
LaPmCuAs | PBE | relaxed

Cell: 5.155 5.155 5.155 Å, 60.00 60.00 60.00°
Positions (direct):
As (0.250, 0.250, 0.250)
Cu (0.750, 0.750, 0.750)
Pm (0.000, 0.000, 0.000)
La (0.500, 0.500, 0.500)

Calculated values
* total moment: 0.00 μB per formula unit
* DFT formation energy: -0.64 eV per atom
* DOS at the Fermi energy: 0.81 states/eV per atom
* calculated total energy: -20.968 eV per cell

***

[3]
RbMn3Cr | PBE | relaxed

Cell: 4.913 4.913 4.913 Å, 90.00 90.00 90.00°
Site moments in Bohr magnetons follow the coordinates.
Positions (direct):
Mn (0.500, 0.000, 0.000)  3.79
Mn (0.000, 0.500, 0.000)  3.87
Mn (0.000, 0.000, 0.500)  3.78
Cr (0.000, 0.000, 0.000)  -2.82
Rb (0.500, 0.500, 0.500)  0.03

Calculated values
* total moment: 9.26 μB per formula unit
* DFT formation energy: 1.10 eV per atom
* DOS at the Fermi energy: 1.03 states/eV per atom
* calculated total energy: -32.596 eV per cell

***

[4]
Ta2FeNi | PBE | relaxed

Cell: 2.751 2.751 7.960 Å, 90.00 90.00 99.51°
Site moments in Bohr magnetons follow the coordinates.
Positions (direct):
Ta (0.500, 0.500, 0.270)  -0.11
Ta (0.000, 0.000, 0.975)  -0.03
Fe (0.000, 0.000, 0.526)  2.42
Ni (0.500, 0.500, 0.729)  0.38

Calculated values
* total moment: 2.54 μB per formula unit
* DFT formation energy: 0.01 eV per atom
* DOS at the Fermi energy: 1.12 states/eV per atom
* calculated total energy: -37.904 eV per cell

***

[5]
La8Sm2Ho | PBE | relaxed

Cell: 6.093 9.296 9.649 Å, 61.20 74.38 56.02°
Positions (direct):
Sm (0.000, 0.690, 0.620)
Sm (0.000, 0.310, 0.380)
La (0.183, 0.668, 0.236)
La (0.701, 0.580, 0.000)
La (0.500, 0.795, 0.410)
La (0.817, 0.332, 0.764)
La (0.817, 0.096, 0.236)
La (0.183, 0.904, 0.764)
La (0.500, 0.205, 0.590)
La (0.299, 0.420, 0.000)
Ho (0.500, 0.000, 0.000)

Calculated values
* total moment: 0.00 μB per formula unit
* DFT formation energy: 0.12 eV per atom
* DOS at the Fermi energy: 1.39 states/eV per atom
* calculated total energy: -52.084 eV per cell

***

[6]
Cs12Cd3Cl5 | PBE | relaxed

Cell: 19.005 19.005 19.005 Å, 109.47 109.47 109.47°
Positions (direct):
Cs (0.593, 0.623, 0.417)
Cs (0.794, 0.324, 0.917)
Cs (0.877, 0.583, 0.907)
Cs (0.623, 0.593, 0.917)
Cs (0.294, 0.417, 0.824)
Cs (0.583, 0.706, 0.676)
Cs (0.530, 0.206, 0.123)
Cs (0.324, 0.530, 0.407)
Cs (0.417, 0.123, 0.593)
Cs (0.030, 0.623, 0.706)
Cs (0.407, 0.030, 0.324)
Cs (0.970, 0.593, 0.176)
Cs (0.470, 0.676, 0.093)
Cs (0.206, 0.676, 0.083)
Cs (0.623, 0.030, 0.206)
Cs (0.676, 0.206, 0.583)
Cs (0.417, 0.294, 0.324)
Cs (0.083, 0.907, 0.377)
Cs (0.176, 0.083, 0.706)
Cs (0.093, 0.917, 0.123)
Cs (0.470, 0.794, 0.877)
Cs (0.093, 0.176, 0.470)
Cs (0.176, 0.093, 0.970)
Cs (0.583, 0.877, 0.407)
Cs (0.083, 0.176, 0.206)
Cs (0.324, 0.794, 0.417)
Cs (0.907, 0.083, 0.877)
Cs (0.377, 0.407, 0.083)
Cs (0.917, 0.824, 0.794)
Cs (0.794, 0.470, 0.377)
Cs (0.877, 0.294, 0.470)
Cs (0.123, 0.706, 0.530)
Cs (0.593, 0.970, 0.676)
Cs (0.206, 0.530, 0.623)
Cs (0.970, 0.377, 0.294)
Cs (0.676, 0.470, 0.593)
Cs (0.907, 0.824, 0.530)
Cs (0.294, 0.877, 0.970)
Cs (0.706, 0.123, 0.030)
Cs (0.706, 0.583, 0.176)
Cs (0.407, 0.377, 0.583)
Cs (0.030, 0.407, 0.824)
Cs (0.824, 0.907, 0.030)
Cs (0.377, 0.970, 0.794)
Cs (0.824, 0.917, 0.294)
Cs (0.530, 0.324, 0.907)
Cs (0.123, 0.417, 0.093)
Cs (0.917, 0.093, 0.623)
Cd (0.625, 0.375, 0.750)
Cd (0.750, 0.875, 0.625)
Cd (0.875, 0.750, 0.125)
Cd (0.125, 0.250, 0.875)
Cd (0.625, 0.250, 0.375)
Cd (0.875, 0.125, 0.250)
Cd (0.375, 0.625, 0.250)
Cd (0.250, 0.125, 0.375)
Cd (0.375, 0.750, 0.625)
Cd (0.125, 0.875, 0.750)
Cd (0.750, 0.375, 0.125)
Cd (0.250, 0.625, 0.875)
Cl (0.500, 0.000, 0.500)
Cl (0.750, 0.625, 0.375)
Cl (0.000, 0.500, 0.500)
Cl (0.125, 0.375, 0.250)
Cl (0.500, 0.500, 0.000)
Cl (0.000, 0.000, 0.500)
Cl (0.250, 0.875, 0.125)
Cl (0.875, 0.625, 0.750)
Cl (0.375, 0.250, 0.125)
Cl (0.500, 0.500, 0.500)
Cl (0.125, 0.750, 0.375)
Cl (0.375, 0.125, 0.750)
Cl (0.625, 0.750, 0.875)
Cl (0.250, 0.375, 0.625)
Cl (0.875, 0.250, 0.625)
Cl (0.000, 0.000, 0.000)
Cl (0.750, 0.125, 0.875)
Cl (0.000, 0.500, 0.000)
Cl (0.625, 0.875, 0.250)
Cl (0.500, 0.000, 0.000)

Calculated values
* total moment: 0.30 μB per formula unit
* formation energy from raw total energies: -0.890 eV per atom
* DOS at the Fermi energy: 0.93 states/eV per atom
* calculated total energy: -160.122 eV per cell

***

[7]
Si3W | PBE | relaxed

Cell: 4.846 4.846 4.846 Å, 141.48 123.91 70.11°
Positions (direct):
W (0.442, 0.750, 0.692)
Si (0.891, 0.250, 0.641)
Si (0.017, 0.017, 0.000)
Si (0.483, 0.483, 0.000)

Calculated values
* total moment: 0.00 μB per formula unit
* formation energy from raw total energies: 0.135 eV per atom
* DOS at the Fermi energy: 0.47 states/eV per atom
* calculated total energy: -28.684 eV per cell

***

[8]
PrNpSn | PBE | relaxed

Cell: 4.945 4.259 8.006 Å, 90.00 107.99 90.00°
Site moments in Bohr magnetons follow the coordinates.
Positions (direct):
Sn (0.595, 0.250, 0.689)  -0.04
Sn (0.405, 0.750, 0.311)  -0.04
Pr (0.231, 0.250, 0.962)  0.01
Pr (0.769, 0.750, 0.038)  0.01
Np (0.957, 0.250, 0.415)  2.34
Np (0.043, 0.750, 0.585)  2.34

Calculated values
* total moment: 2.39 μB per formula unit
* DFT formation energy: -0.08 eV per atom
* DOS at the Fermi energy: 2.00 states/eV per atom
* calculated total energy: -43.947 eV per cell

***

[9]
NiPtAu2 | PBE | relaxed

Cell: 9.201 9.201 9.201 Å, 17.74 17.74 17.74°
Site moments in Bohr magnetons follow the coordinates.
Positions (direct):
Ni (0.250, 0.250, 0.250)  0.40
Au (0.995, 0.995, 0.995)  -0.01
Au (0.505, 0.505, 0.505)  -0.01
Pt (0.750, 0.750, 0.750)  0.03

Calculated values
* total moment: 0.37 μB per formula unit
* DFT formation energy: 0.08 eV per atom
* DOS at the Fermi energy: 1.09 states/eV per atom
* calculated total energy: -18.058 eV per cell

***

Q: Number 1 is which compound?
A: Zr6RuO

***

Q: Among the records above, which one has the highest calculated total energy?
A: NiPtAu2

***

Q: Which of these has the lowest DOS at the Fermi energy?
A: Si3W